[1]
VASP calculation (PBE) on an optimized crystal structure of KBa2AuN.

## Properties
**Formation energy without anion corrections**: -209.7 meV/atom
**Space-group type**: P4/mmm, No. 123
**N(E_F)**: 5.39 states/eV/f.u.
**Offset from the most stable computed form**: 0.000 eV per atom

abc: 5.4872 5.5363 5.4872
angles: 90.00 90.00 90.00
Fractional positions:
K: 0.0000 0.5000 0.0000
Au: 0.5000 0.5000 0.5000
Ba: 0.0000 0.0000 0.5000
Ba: 0.5000 0.0000 0.0000
N: 0.0000 0.0000 0.0000

---

[2]
VASP calculation (PBE) on an optimized crystal structure of KBaNa2Au.

## Properties
**Formation energy from the elements**: -0.16 eV per atom
**Space-group type**: P4/mmm, No. 123
**N(E_F)**: 3.77 states/eV/f.u.
**Offset from the most stable computed form**: 0.000 eV per atom

abc: 6.0470 6.0470 6.2503
angles: 90.00 90.00 90.00
Fractional positions:
Na: 0.0000 0.5000 0.0000
Na: 0.5000 0.0000 0.0000
K: 0.5000 0.5000 0.5000
Au: 0.0000 0.0000 0.0000
Ba: 0.0000 0.0000 0.5000

---

[3]
VASP calculation (PBE) on an optimized crystal structure of KBaNa2Au.

## Properties
**Formation energy from the elements**: -0.01 eV per atom
**Space-group type**: P4/mmm, No. 123
**N(E_F)**: 4.41 states/eV/f.u.
**Offset from the most stable computed form**: 0.150 eV per atom

abc: 5.9087 5.9087 6.2640
angles: 90.00 90.00 90.00
Fractional positions:
Na: 0.0000 0.5000 0.0000
Na: 0.5000 0.0000 0.0000
K: 0.0000 0.0000 0.5000
Au: 0.0000 0.0000 0.0000
Ba: 0.5000 0.5000 0.5000

---

[4]
VASP calculation (PBE) on an optimized crystal structure of KBa2Au2O6.

## Properties
**Formation energy without anion corrections**: -945.4 meV/atom
**Space-group type**: R-3m, No. 166
**N(E_F)**: 2.86 states/eV/f.u.

abc: 6.1302 6.1302 8.0381
angles: 67.58 67.58 60.00
Fractional positions:
K: 0.0000 0.0000 0.0000
Ba: 0.7961 0.7961 0.6116
Ba: 0.2039 0.2039 0.3884
Au: 0.4298 0.4298 0.7105
Au: 0.5702 0.5702 0.2895
O: 0.7507 0.7507 0.3058
O: 0.1928 0.7507 0.3058
O: 0.7507 0.1928 0.3058
O: 0.2493 0.8072 0.6942
O: 0.8072 0.2493 0.6942
O: 0.2493 0.2493 0.6942

---

[5]
VASP calculation (PBE) on an optimized crystal structure of KBa2AuO4.

## Properties
**Formation energy without anion corrections**: -1626.2 meV/atom
**Space-group type**: I-4m2, No. 119
**N(E_F)**: 0.00 states/eV/f.u.

abc: 5.8353 5.8353 5.8353
angles: 103.18 112.71 112.71
Fractional positions:
K: 0.5000 0.2500 0.7500
Ba: 0.5000 0.7500 0.2500
Ba: 0.0000 0.0000 0.0000
Au: 0.0000 0.5000 0.5000
O: 0.5526 0.2764 0.2763
O: 0.9999 0.2762 0.7236
O: 0.0001 0.7237 0.2763
O: 0.4474 0.7237 0.7238

---

[6]
VASP calculation (PBE) on an optimized crystal structure of KBaPbAu2.

## Properties
**Formation energy from the elements**: 0.25 eV per atom
**Space-group type**: P4/mmm, No. 123
**N(E_F)**: 3.19 states/eV/f.u.
**Offset from the most stable computed form**: 0.000 eV per atom

abc: 5.7188 5.8832 5.7188
angles: 90.00 90.00 90.00
Fractional positions:
Pb: 0.0000 0.5000 0.0000
K: 0.0000 0.0000 0.0000
Au: 0.0000 0.0000 0.5000
Au: 0.5000 0.0000 0.0000
Ba: 0.5000 0.5000 0.5000

---

no.,V (Å³ per cell),ρ (g cm⁻³)
1,167,5.23
2,229,3.05
3,219,3.18
4,235,5.68
5,152,6.30
6,192,6.71